The following is a PBE-GGA calculation of crystalline TbHoEr2Sb4 at its relaxed geometry, from Alexandria.

formation energy (no corrections)	-1.112	eV/atom
raw total energy	-43.72	eV/f.u.
volume	29.48	Å³ per atom
M_tot	0.00	μB/f.u.

Structure (CIF):
```
data_TbHoEr2Sb4
_chemical_formula_sum 'Tb1 Ho1 Er2 Sb4'
_cell_length_a 7.5646
_cell_length_b 4.3706
_cell_length_c 7.5647
_cell_angle_alpha 90.00
_cell_angle_beta 109.47
_cell_angle_gamma 90.00
_space_group_name_H-M_alt 'P 1 2/m 1'
_space_group_IT_number 10
_space_group_name_Hall '-P 2y'
loop_
_atom_site_label
_atom_site_type_symbol
_atom_site_fract_x
_atom_site_fract_y
_atom_site_fract_z
Tb1 Tb 0.0000 0.0000 0.0000
Ho1 Ho 0.0000 0.5000 0.5000
Er1 Er 0.5000 0.0000 0.5000
Er2 Er 0.5000 0.5000 0.0000
Sb1 Sb 0.2518 0.0000 0.7496
Sb2 Sb 0.2526 0.5000 0.2519
```

The following is a PBE-GGA calculation of crystalline TbHo2Er3Sb6 at its relaxed geometry, from Alexandria.

formation energy (no corrections)	-1.110	eV/atom
raw total energy	-65.53	eV/f.u.
volume	29.39	Å³ per atom
M_tot	0.00	μB/f.u.

Structure (CIF):
```
data_TbHo2Er3Sb6
_chemical_formula_sum 'Tb2 Ho4 Er6 Sb12'
_cell_length_a 19.0207
_cell_length_b 4.3641
_cell_length_c 8.7278
_cell_angle_alpha 90.00
_cell_angle_beta 103.20
_cell_angle_gamma 90.00
_space_group_name_H-M_alt 'C 1 2/m 1'
_space_group_IT_number 12
_space_group_name_Hall '-C 2y'
loop_
_atom_site_label
_atom_site_type_symbol
_atom_site_fract_x
_atom_site_fract_y
_atom_site_fract_z
Tb1 Tb 0.0000 0.0000 0.0000
Ho1 Ho 0.1668 0.5000 0.3331
Er1 Er 0.0000 0.0000 0.5000
Er2 Er 0.1664 0.5000 0.8328
Sb1 Sb 0.9999 0.5000 0.2523
Sb2 Sb 0.1664 0.0000 0.5836
Sb3 Sb 0.1676 0.0000 0.0828
```

The following is a PBE-GGA calculation of crystalline TbHo2ErSb4 at its relaxed geometry, from Alexandria.

formation energy (no corrections)	-1.117	eV/atom
raw total energy	-43.77	eV/f.u.
volume	29.56	Å³ per atom
M_tot	0.00	μB/f.u.

Structure (CIF):
```
data_TbHo2ErSb4
_chemical_formula_sum 'Tb1 Ho2 Er1 Sb4'
_cell_length_a 7.5720
_cell_length_b 4.3747
_cell_length_c 7.5725
_cell_angle_alpha 90.00
_cell_angle_beta 109.47
_cell_angle_gamma 90.00
_space_group_name_H-M_alt 'P 1 2/m 1'
_space_group_IT_number 10
_space_group_name_Hall '-P 2y'
loop_
_atom_site_label
_atom_site_type_symbol
_atom_site_fract_x
_atom_site_fract_y
_atom_site_fract_z
Tb1 Tb 0.0000 0.0000 0.0000
Ho1 Ho 0.0000 0.5000 0.5000
Ho2 Ho 0.5000 0.0000 0.5000
Er1 Er 0.5000 0.5000 0.0000
Sb1 Sb 0.2514 0.0000 0.7499
Sb2 Sb 0.2519 0.5000 0.2511
```

The following is a PBE-GGA calculation of crystalline HoErSbTe at its relaxed geometry, from Alexandria.

formation energy (no corrections)	-1.166	eV/atom
raw total energy	-21.07	eV/f.u.
volume	29.44	Å³ per atom
M_tot	0.00	μB/f.u.

Structure (CIF):
```
data_HoErSbTe
_chemical_formula_sum 'Ho3 Er3 Sb3 Te3'
_cell_length_a 4.2571
_cell_length_b 4.2571
_cell_length_c 22.5055
_cell_angle_alpha 90.00
_cell_angle_beta 90.00
_cell_angle_gamma 120.00
_space_group_name_H-M_alt 'R 3 m'
_space_group_IT_number 160
_space_group_name_Hall 'R 3 -2"'
loop_
_atom_site_label
_atom_site_type_symbol
_atom_site_fract_x
_atom_site_fract_y
_atom_site_fract_z
Ho1 Ho 0.0000 0.0000 0.0000
Er1 Er 0.0000 0.0000 0.1784
Sb1 Sb 0.0000 0.0000 0.5905
Te1 Te 0.0000 0.0000 0.4218
```

The following is a PBE-GGA calculation of crystalline HoEr2ThSb4 at its relaxed geometry, from Alexandria.

formation energy (no corrections)	-1.061	eV/atom
raw total energy	-46.10	eV/f.u.
volume	30.07	Å³ per atom
M_tot	0.00	μB/f.u.

Structure (CIF):
```
data_HoEr2ThSb4
_chemical_formula_sum 'Ho1 Er2 Th1 Sb4'
_cell_length_a 7.6089
_cell_length_b 4.4062
_cell_length_c 7.6117
_cell_angle_alpha 90.00
_cell_angle_beta 109.50
_cell_angle_gamma 90.00
_space_group_name_H-M_alt 'P 1 2/m 1'
_space_group_IT_number 10
_space_group_name_Hall '-P 2y'
loop_
_atom_site_label
_atom_site_type_symbol
_atom_site_fract_x
_atom_site_fract_y
_atom_site_fract_z
Ho1 Ho 0.0000 0.0000 0.0000
Er1 Er 0.5000 0.0000 0.5000
Er2 Er 0.5000 0.5000 0.0000
Th1 Th 0.0000 0.5000 0.5000
Sb1 Sb 0.2542 0.5000 0.2473
Sb2 Sb 0.2580 0.0000 0.7573
```

The following is a PBE-GGA calculation of crystalline Ho3ErTh2Sb6 at its relaxed geometry, from Alexandria.

formation energy (no corrections)	-1.045	eV/atom
raw total energy	-70.41	eV/f.u.
volume	30.41	Å³ per atom
M_tot	0.00	μB/f.u.

Structure (CIF):
```
data_Ho3ErTh2Sb6
_chemical_formula_sum 'Ho6 Er2 Th4 Sb12'
_cell_length_a 19.2247
_cell_length_b 4.4245
_cell_length_c 8.8129
_cell_angle_alpha 90.00
_cell_angle_beta 103.16
_cell_angle_gamma 90.00
_space_group_name_H-M_alt 'C 1 2/m 1'
_space_group_IT_number 12
_space_group_name_Hall '-C 2y'
loop_
_atom_site_label
_atom_site_type_symbol
_atom_site_fract_x
_atom_site_fract_y
_atom_site_fract_z
Ho1 Ho 0.0000 0.0000 0.0000
Ho2 Ho 0.1676 0.5000 0.3341
Er1 Er 0.0000 0.0000 0.5000
Th1 Th 0.1647 0.5000 0.8307
Sb1 Sb 0.0033 0.5000 0.2524
Sb2 Sb 0.1649 0.0000 0.0889
Sb3 Sb 0.1657 0.0000 0.5753
```

The following is a PBE-GGA calculation of crystalline HoErTh2Sb5 at its relaxed geometry, from Alexandria.

formation energy (no corrections)	-0.207	eV/atom
raw total energy	-46.45	eV/f.u.
volume	34.82	Å³ per atom
M_tot	0.00	μB/f.u.

Structure (CIF):
```
data_HoErTh2Sb5
_chemical_formula_sum 'Ho1 Er1 Th2 Sb5'
_cell_length_a 5.2344
_cell_length_b 5.2344
_cell_length_c 11.4366
_cell_angle_alpha 90.00
_cell_angle_beta 90.00
_cell_angle_gamma 90.00
_space_group_name_H-M_alt 'P 4/m m m'
_space_group_IT_number 123
_space_group_name_Hall '-P 4 2'
loop_
_atom_site_label
_atom_site_type_symbol
_atom_site_fract_x
_atom_site_fract_y
_atom_site_fract_z
Ho1 Ho 0.0000 0.0000 0.0000
Er1 Er 0.0000 0.0000 0.5000
Th1 Th 0.5000 0.5000 0.2992
Sb1 Sb 0.0000 0.0000 0.2475
Sb2 Sb 0.0000 0.5000 0.5000
Sb3 Sb 0.5000 0.5000 0.0000
```

The following is a PBE-GGA calculation of crystalline HoEr3Th2Sb6 at its relaxed geometry, from Alexandria.

formation energy (no corrections)	-1.038	eV/atom
raw total energy	-70.29	eV/f.u.
volume	30.31	Å³ per atom
M_tot	0.00	μB/f.u.

Structure (CIF):
```
data_HoEr3Th2Sb6
_chemical_formula_sum 'Ho2 Er6 Th4 Sb12'
_cell_length_a 19.1987
_cell_length_b 4.4196
_cell_length_c 8.8013
_cell_angle_alpha 90.00
_cell_angle_beta 103.10
_cell_angle_gamma 90.00
_space_group_name_H-M_alt 'C 1 2/m 1'
_space_group_IT_number 12
_space_group_name_Hall '-C 2y'
loop_
_atom_site_label
_atom_site_type_symbol
_atom_site_fract_x
_atom_site_fract_y
_atom_site_fract_z
Ho1 Ho 0.0000 0.0000 0.0000
Er1 Er 0.0000 0.0000 0.5000
Er2 Er 0.1674 0.5000 0.8340
Th1 Th 0.1648 0.5000 0.3307
Sb1 Sb 0.0034 0.5000 0.7509
Sb2 Sb 0.1646 0.0000 0.5895
Sb3 Sb 0.1664 0.0000 0.0748
```

The following is a PBE-GGA calculation of crystalline Ho2ErTm3Sb6 at its relaxed geometry, from Alexandria.

formation energy (no corrections)	-1.088	eV/atom
raw total energy	-64.92	eV/f.u.
volume	29.07	Å³ per atom
M_tot	0.00	μB/f.u.

Structure (CIF):
```
data_Ho2ErTm3Sb6
_chemical_formula_sum 'Ho4 Er2 Tm6 Sb12'
_cell_length_a 18.9525
_cell_length_b 4.3478
_cell_length_c 8.6977
_cell_angle_alpha 90.00
_cell_angle_beta 103.20
_cell_angle_gamma 90.00
_space_group_name_H-M_alt 'C 1 2/m 1'
_space_group_IT_number 12
_space_group_name_Hall '-C 2y'
loop_
_atom_site_label
_atom_site_type_symbol
_atom_site_fract_x
_atom_site_fract_y
_atom_site_fract_z
Ho1 Ho 0.1666 0.0000 0.3330
Er1 Er 0.0000 0.5000 0.0000
Tm1 Tm 0.0000 0.5000 0.5000
Tm2 Tm 0.1668 0.0000 0.8331
Sb1 Sb 0.0006 0.0000 0.7495
Sb2 Sb 0.1662 0.5000 0.5844
Sb3 Sb 0.1669 0.5000 0.0817
```

The following is a PBE-GGA calculation of crystalline Ho2ErTmSb4 at its relaxed geometry, from Alexandria.

formation energy (no corrections)	-1.097	eV/atom
raw total energy	-43.46	eV/f.u.
volume	29.23	Å³ per atom
M_tot	0.00	μB/f.u.

Structure (CIF):
```
data_Ho2ErTmSb4
_chemical_formula_sum 'Ho2 Er1 Tm1 Sb4'
_cell_length_a 7.5432
_cell_length_b 4.3582
_cell_length_c 7.5435
_cell_angle_alpha 90.00
_cell_angle_beta 109.47
_cell_angle_gamma 90.00
_space_group_name_H-M_alt 'P 1 2/m 1'
_space_group_IT_number 10
_space_group_name_Hall '-P 2y'
loop_
_atom_site_label
_atom_site_type_symbol
_atom_site_fract_x
_atom_site_fract_y
_atom_site_fract_z
Ho1 Ho 0.0000 0.0000 0.0000
Ho2 Ho 0.0000 0.5000 0.5000
Er1 Er 0.5000 0.0000 0.5000
Tm1 Tm 0.5000 0.5000 0.0000
Sb1 Sb 0.2514 0.5000 0.2500
Sb2 Sb 0.2520 0.0000 0.7512
```

The following is a PBE-GGA calculation of crystalline HoEr2TmSb4 at its relaxed geometry, from Alexandria.

formation energy (no corrections)	-1.092	eV/atom
raw total energy	-43.40	eV/f.u.
volume	29.15	Å³ per atom
M_tot	0.00	μB/f.u.

Structure (CIF):
```
data_HoEr2TmSb4
_chemical_formula_sum 'Ho1 Er2 Tm1 Sb4'
_cell_length_a 7.5366
_cell_length_b 4.3542
_cell_length_c 7.5366
_cell_angle_alpha 90.00
_cell_angle_beta 109.47
_cell_angle_gamma 90.00
_space_group_name_H-M_alt 'P 1 2/m 1'
_space_group_IT_number 10
_space_group_name_Hall '-P 2y'
loop_
_atom_site_label
_atom_site_type_symbol
_atom_site_fract_x
_atom_site_fract_y
_atom_site_fract_z
Ho1 Ho 0.0000 0.0000 0.0000
Er1 Er 0.0000 0.5000 0.5000
Er2 Er 0.5000 0.0000 0.5000
Tm1 Tm 0.5000 0.5000 0.0000
Sb1 Sb 0.2512 0.0000 0.7505
Sb2 Sb 0.2511 0.5000 0.2503
```

The following is a PBE-GGA calculation of crystalline HoEr3Tm2Sb6 at its relaxed geometry, from Alexandria.

formation energy (no corrections)	-1.089	eV/atom
raw total energy	-65.01	eV/f.u.
volume	29.07	Å³ per atom
M_tot	0.00	μB/f.u.

Structure (CIF):
```
data_HoEr3Tm2Sb6
_chemical_formula_sum 'Ho2 Er6 Tm4 Sb12'
_cell_length_a 18.9535
_cell_length_b 4.3475
_cell_length_c 8.6976
_cell_angle_alpha 90.00
_cell_angle_beta 103.22
_cell_angle_gamma 90.00
_space_group_name_H-M_alt 'C 1 2/m 1'
_space_group_IT_number 12
_space_group_name_Hall '-C 2y'
loop_
_atom_site_label
_atom_site_type_symbol
_atom_site_fract_x
_atom_site_fract_y
_atom_site_fract_z
Ho1 Ho 0.0000 0.0000 0.0000
Er1 Er 0.0000 0.0000 0.5000
Er2 Er 0.1664 0.5000 0.8332
Tm1 Tm 0.1668 0.5000 0.3334
Sb1 Sb 0.0004 0.5000 0.2510
Sb2 Sb 0.1670 0.0000 0.0843
Sb3 Sb 0.1669 0.0000 0.5826
```

The lowest raw total energy belongs to which entry?
Ho3ErTh2Sb6